# 1
A geometry-optimized AlOs2 structure. Source: Alexandria, functional PBE.

Calculated values
E_form   -0.230 eV per formula unit

CIF file:
```
data_AlOs2
_symmetry_space_group_name_H-M 'I m m m'
_symmetry_Int_Tables_number 71
_symmetry_space_group_name_Hall '-I 2 2'
_cell_length_a 2.804
_cell_length_b 3.840
_cell_length_c 7.918
_cell_angle_alpha 90.00
_cell_angle_beta 90.00
_cell_angle_gamma 90.00
loop_
_atom_site_label
_atom_site_fract_x
_atom_site_fract_y
_atom_site_fract_z
Al1 0.000 0.000 0.000
Os1 0.000 0.000 0.333
```

# 2
A geometry-optimized Al2Os structure. Source: Alexandria, functional PBE.

Calculated values
E_form   -1.003 eV per formula unit

CIF file:
```
data_Al2Os
_symmetry_space_group_name_H-M 'P 4/m m m'
_symmetry_Int_Tables_number 123
_symmetry_space_group_name_Hall '-P 4 2'
_cell_length_a 4.252
_cell_length_b 4.252
_cell_length_c 2.861
_cell_angle_alpha 90.00
_cell_angle_beta 90.00
_cell_angle_gamma 90.00
loop_
_atom_site_label
_atom_site_fract_x
_atom_site_fract_y
_atom_site_fract_z
Al1 0.000 0.500 0.000
Os1 0.000 0.000 0.500
```

# 3
A geometry-optimized Al3Os structure. Source: Alexandria, functional PBE.

Calculated values
E_form   -0.690 eV per formula unit

CIF file:
```
data_Al3Os
_symmetry_space_group_name_H-M 'C m m m'
_symmetry_Int_Tables_number 65
_symmetry_space_group_name_Hall '-C 2 2'
_cell_length_a 5.336
_cell_length_b 7.296
_cell_length_c 3.022
_cell_angle_alpha 90.00
_cell_angle_beta 90.00
_cell_angle_gamma 90.00
loop_
_atom_site_label
_atom_site_fract_x
_atom_site_fract_y
_atom_site_fract_z
Al1 0.000 0.000 0.000
Al2 0.250 0.250 0.500
Os1 0.000 0.500 0.000
```

# 4
A geometry-optimized Al2Os structure. Source: Alexandria, functional PBE.

Calculated values
E_form   -0.740 eV per formula unit

CIF file:
```
data_Al2Os
_symmetry_space_group_name_H-M 'I 4/m c m'
_symmetry_Int_Tables_number 140
_symmetry_space_group_name_Hall '-I 4 2c'
_cell_length_a 6.182
_cell_length_b 6.182
_cell_length_c 5.062
_cell_angle_alpha 90.00
_cell_angle_beta 90.00
_cell_angle_gamma 90.00
loop_
_atom_site_label
_atom_site_fract_x
_atom_site_fract_y
_atom_site_fract_z
Al1 0.160 0.340 0.000
Os1 0.000 0.000 0.250
```

# 5
A geometry-optimized AlOs2 structure. Source: Alexandria, functional PBE.

Calculated values
E_form   0.068 eV per formula unit

CIF file:
```
data_AlOs2
_symmetry_space_group_name_H-M 'P n m a'
_symmetry_Int_Tables_number 62
_cell_length_a 5.316
_cell_length_b 4.144
_cell_length_c 7.708
_cell_angle_alpha 90.00
_cell_angle_beta 90.00
_cell_angle_gamma 90.00
loop_
_symmetry_equiv_pos_as_xyz
'x,y,z'
'-x,-y,-z'
'-x+1/2,-y,z+1/2'
'x+1/2,y,-z+1/2'
'x+1/2,-y+1/2,-z+1/2'
'-x+1/2,y+1/2,z+1/2'
'-x,y+1/2,-z'
'x,-y+1/2,z'
loop_
_atom_site_label
_atom_site_fract_x
_atom_site_fract_y
_atom_site_fract_z
Al1 0.174 0.250 0.103
Os1 0.037 0.250 0.775
Os2 0.164 0.250 0.442
```

# 6
A geometry-optimized AlOs5 structure. Source: Alexandria, functional PBE.

Calculated values
Energy relative to the lowest polymorph listed for this composition   44.8 meV/atom
E_form   -0.001 eV per formula unit

CIF file:
```
data_AlOs5
_symmetry_space_group_name_H-M 'A m m 2'
_symmetry_Int_Tables_number 38
_cell_length_a 4.351
_cell_length_b 2.779
_cell_length_c 14.185
_cell_angle_alpha 90.00
_cell_angle_beta 90.00
_cell_angle_gamma 90.00
loop_
_symmetry_equiv_pos_as_xyz
'x,y,z'
'-x,-y,z'
'-x,y,z'
'x,-y,z'
'x,y+1/2,z+1/2'
'-x,-y+1/2,z+1/2'
'-x,y+1/2,z+1/2'
'x,-y+1/2,z+1/2'
loop_
_atom_site_label
_atom_site_fract_x
_atom_site_fract_y
_atom_site_fract_z
Al1 0.000 0.000 0.000
Os1 0.000 0.000 0.328
Os2 0.000 0.000 0.666
Os3 0.500 0.000 0.217
Os4 0.500 0.000 0.551
Os5 0.500 0.000 0.887
```

# 7
A geometry-optimized Al2Os structure. Source: Alexandria, functional PBE.

Calculated values
E_form   -0.553 eV per formula unit

CIF file:
```
data_Al2Os
_symmetry_space_group_name_H-M 'P -3 m 1'
_symmetry_Int_Tables_number 164
_symmetry_space_group_name_Hall '-P 3 2"'
_cell_length_a 4.1712
_cell_length_b 4.1712
_cell_length_c 2.8957
_cell_angle_alpha 90.00
_cell_angle_beta 90.00
_cell_angle_gamma 120.00
loop_
_atom_site_label
_atom_site_fract_x
_atom_site_fract_y
_atom_site_fract_z
Al1 0.3333 0.6667 0.1980
Os1 0.0000 0.0000 0.5000
```

# 8
A geometry-optimized AlOs5 structure. Source: Alexandria, functional PBE.

Calculated values
Energy relative to the lowest polymorph listed for this composition   128.0 meV/atom
E_form   0.498 eV per formula unit

CIF file:
```
data_AlOs5
_symmetry_space_group_name_H-M 'C m m m'
_symmetry_Int_Tables_number 65
_symmetry_space_group_name_Hall '-C 2 2'
_cell_length_a 3.837
_cell_length_b 11.713
_cell_length_c 3.853
_cell_angle_alpha 90.00
_cell_angle_beta 90.00
_cell_angle_gamma 90.00
loop_
_atom_site_label
_atom_site_fract_x
_atom_site_fract_y
_atom_site_fract_z
Al1 0.000 0.000 0.000
Os1 0.000 0.169 0.500
Os2 0.000 0.326 0.000
Os3 0.000 0.500 0.500
```

# 9
A geometry-optimized Al6Os7 structure. Source: Alexandria, functional PBE.

Calculated values
E_form   0.928 eV per formula unit

CIF file:
```
data_Al6Os7
_symmetry_space_group_name_H-M 'R -3 m'
_symmetry_Int_Tables_number 166
_symmetry_space_group_name_Hall '-R 3 2"'
_cell_length_a 5.1965
_cell_length_b 5.1965
_cell_length_c 26.0519
_cell_angle_alpha 90.00
_cell_angle_beta 90.00
_cell_angle_gamma 120.00
loop_
_atom_site_label
_atom_site_fract_x
_atom_site_fract_y
_atom_site_fract_z
Al1 0.0000 0.0000 0.0487
Al2 0.0000 0.0000 0.1548
Al3 0.0000 0.0000 0.3363
Os1 0.0000 0.0000 0.5000
Os2 0.0099 0.5049 0.9141
```

# 10
A geometry-optimized Al3Os structure. Source: Alexandria, functional PBE.

Calculated values
E_form   -0.919 eV per formula unit

CIF file:
```
data_Al3Os
_symmetry_space_group_name_H-M 'C 1 2/m 1'
_symmetry_Int_Tables_number 12
_cell_length_a 8.956
_cell_length_b 2.980
_cell_length_c 4.521
_cell_angle_alpha 90.00
_cell_angle_beta 100.53
_cell_angle_gamma 90.00
loop_
_symmetry_equiv_pos_as_xyz
'x,y,z'
'-x,-y,-z'
'-x,y,-z'
'x,-y,z'
'x+1/2,y+1/2,z'
'-x+1/2,-y+1/2,-z'
'-x+1/2,y+1/2,-z'
'x+1/2,-y+1/2,z'
loop_
_atom_site_label
_atom_site_fract_x
_atom_site_fract_y
_atom_site_fract_z
Al1 0.000 0.000 0.000
Al2 0.239 0.000 0.732
Os1 0.000 0.500 0.500
```

# 11
A geometry-optimized Al13Os2 structure. Source: Alexandria, functional PBE.

Calculated values
E_form   -1.874 eV per formula unit

CIF file:
```
data_Al13Os2
_symmetry_space_group_name_H-M 'P -1'
_symmetry_Int_Tables_number 2
_cell_length_a 5.062
_cell_length_b 6.473
_cell_length_c 8.142
_cell_angle_alpha 110.43
_cell_angle_beta 93.56
_cell_angle_gamma 97.17
loop_
_symmetry_equiv_pos_as_xyz
'x,y,z'
'-x,-y,-z'
loop_
_atom_site_label
_atom_site_fract_x
_atom_site_fract_y
_atom_site_fract_z
Al1 0.000 0.000 0.000
Al2 0.026 0.464 0.651
Al3 0.246 0.976 0.571
Al4 0.262 0.380 0.923
Al5 0.269 0.798 0.187
Al6 0.434 0.813 0.852
Al7 0.480 0.583 0.373
Os1 0.196 0.199 0.352
```

# 12
A geometry-optimized Al2Os structure. Source: Alexandria, functional PBE.

Calculated values
E_form   -0.401 eV per formula unit

CIF file:
```
data_Al2Os
_symmetry_space_group_name_H-M 'P 63/m m c'
_symmetry_Int_Tables_number 194
_symmetry_space_group_name_Hall '-P 6c 2c'
_cell_length_a 4.3413
_cell_length_b 4.3413
_cell_length_c 5.3582
_cell_angle_alpha 90.00
_cell_angle_beta 90.00
_cell_angle_gamma 120.00
loop_
_atom_site_label
_atom_site_fract_x
_atom_site_fract_y
_atom_site_fract_z
Al1 0.0000 0.0000 0.0000
Al2 0.3333 0.6667 0.2500
Os1 0.3333 0.6667 0.7500
```

# 13
A geometry-optimized Al3Os structure. Source: Alexandria, functional PBE.

Calculated values
E_form   -0.322 eV per formula unit

CIF file:
```
data_Al3Os
_symmetry_space_group_name_H-M 'P -6 m 2'
_symmetry_Int_Tables_number 187
_symmetry_space_group_name_Hall 'P -6 2'
_cell_length_a 2.8938
_cell_length_b 2.8938
_cell_length_c 8.5569
_cell_angle_alpha 90.00
_cell_angle_beta 90.00
_cell_angle_gamma 120.00
loop_
_atom_site_label
_atom_site_fract_x
_atom_site_fract_y
_atom_site_fract_z
Al1 0.0000 0.0000 0.0000
Al2 0.3333 0.6667 0.2718
Os1 0.0000 0.0000 0.5000
```

# 14
A geometry-optimized Al2Os structure. Source: Alexandria, functional PBE.

Calculated values
E_form   -1.031 eV per formula unit

CIF file:
```
data_Al2Os
_symmetry_space_group_name_H-M 'C 1 2/m 1'
_symmetry_Int_Tables_number 12
_cell_length_a 9.408
_cell_length_b 3.008
_cell_length_c 6.522
_cell_angle_alpha 90.00
_cell_angle_beta 108.30
_cell_angle_gamma 90.00
loop_
_symmetry_equiv_pos_as_xyz
'x,y,z'
'-x,-y,-z'
'-x,y,-z'
'x,-y,z'
'x+1/2,y+1/2,z'
'-x+1/2,-y+1/2,-z'
'-x+1/2,y+1/2,-z'
'x+1/2,-y+1/2,z'
loop_
_atom_site_label
_atom_site_fract_x
_atom_site_fract_y
_atom_site_fract_z
Al1 0.036 0.000 0.320
Al2 0.147 0.500 0.045
Os1 0.188 0.500 0.654
```

# 15
A geometry-optimized Al5Os4 structure. Source: Alexandria, functional PBE.

Calculated values
Energy relative to the lowest polymorph listed for this composition   0.0 meV/atom
E_form   -1.570 eV per formula unit

CIF file:
```
data_Al5Os4
_symmetry_space_group_name_H-M 'P 63/m c m'
_symmetry_Int_Tables_number 193
_symmetry_space_group_name_Hall '-P 6c 2'
_cell_length_a 7.4636
_cell_length_b 7.4636
_cell_length_c 5.3354
_cell_angle_alpha 90.00
_cell_angle_beta 90.00
_cell_angle_gamma 120.00
loop_
_atom_site_label
_atom_site_fract_x
_atom_site_fract_y
_atom_site_fract_z
Al1 0.0000 0.2977 0.2500
Al2 0.3333 0.6667 0.0000
Os1 0.0000 0.0000 0.0000
Os2 0.0000 0.3683 0.7500
```

# 16
A geometry-optimized Al2Os structure. Source: Alexandria, functional PBE.

Calculated values
E_form   -1.335 eV per formula unit

CIF file:
```
data_Al2Os
_symmetry_space_group_name_H-M 'P n m a'
_symmetry_Int_Tables_number 62
_cell_length_a 5.083
_cell_length_b 4.182
_cell_length_c 8.021
_cell_angle_alpha 90.00
_cell_angle_beta 90.00
_cell_angle_gamma 90.00
loop_
_symmetry_equiv_pos_as_xyz
'x,y,z'
'-x,-y,-z'
'-x+1/2,-y,z+1/2'
'x+1/2,y,-z+1/2'
'x+1/2,-y+1/2,-z+1/2'
'-x+1/2,y+1/2,z+1/2'
'-x,y+1/2,-z'
'x,-y+1/2,z'
loop_
_atom_site_label
_atom_site_fract_x
_atom_site_fract_y
_atom_site_fract_z
Al1 0.120 0.250 0.204
Al2 0.151 0.250 0.547
Os1 0.153 0.250 0.877
```

# 17
A geometry-optimized AlOs5 structure. Source: Alexandria, functional PBE.

Calculated values
Energy relative to the lowest polymorph listed for this composition   50.4 meV/atom
E_form   0.032 eV per formula unit

CIF file:
```
data_AlOs5
_symmetry_space_group_name_H-M 'P 4/m m m'
_symmetry_Int_Tables_number 123
_symmetry_space_group_name_Hall '-P 4 2'
_cell_length_a 2.758
_cell_length_b 2.758
_cell_length_c 11.248
_cell_angle_alpha 90.00
_cell_angle_beta 90.00
_cell_angle_gamma 90.00
loop_
_atom_site_label
_atom_site_fract_x
_atom_site_fract_y
_atom_site_fract_z
Al1 0.000 0.000 0.000
Os1 0.000 0.000 0.328
Os2 0.500 0.500 0.165
Os3 0.500 0.500 0.500
```

# 18
A geometry-optimized Al2Os structure. Source: Alexandria, functional PBE.

Calculated values
E_form   0.123 eV per formula unit

CIF file:
```
data_Al2Os
_symmetry_space_group_name_H-M 'P n n m'
_symmetry_Int_Tables_number 58
_cell_length_a 5.521
_cell_length_b 7.224
_cell_length_c 2.826
_cell_angle_alpha 90.00
_cell_angle_beta 90.00
_cell_angle_gamma 90.00
loop_
_symmetry_equiv_pos_as_xyz
'x,y,z'
'-x,-y,-z'
'-x,-y,z'
'x,y,-z'
'x+1/2,-y+1/2,-z+1/2'
'-x+1/2,y+1/2,z+1/2'
'-x+1/2,y+1/2,-z+1/2'
'x+1/2,-y+1/2,z+1/2'
loop_
_atom_site_label
_atom_site_fract_x
_atom_site_fract_y
_atom_site_fract_z
Al1 0.222 0.228 0.000
Os1 0.000 0.000 0.500
```

# 19
A geometry-optimized Al2Os structure. Source: Alexandria, functional PBE.

Calculated values
E_form   -1.398 eV per formula unit

CIF file:
```
data_Al2Os
_symmetry_space_group_name_H-M 'C m c m'
_symmetry_Int_Tables_number 63
_symmetry_space_group_name_Hall '-C 2c 2'
_cell_length_a 3.173
_cell_length_b 12.755
_cell_length_c 4.187
_cell_angle_alpha 90.00
_cell_angle_beta 90.00
_cell_angle_gamma 90.00
loop_
_atom_site_label
_atom_site_fract_x
_atom_site_fract_y
_atom_site_fract_z
Al1 0.000 0.066 0.250
Al2 0.000 0.259 0.750
Os1 0.000 0.401 0.250
```

# 20
A geometry-optimized AlOs2 structure. Source: Alexandria, functional PBE.

Calculated values
E_form   0.534 eV per formula unit

CIF file:
```
data_AlOs2
_symmetry_space_group_name_H-M 'I 4/m c m'
_symmetry_Int_Tables_number 140
_symmetry_space_group_name_Hall '-I 4 2c'
_cell_length_a 6.048
_cell_length_b 6.048
_cell_length_c 4.676
_cell_angle_alpha 90.00
_cell_angle_beta 90.00
_cell_angle_gamma 90.00
loop_
_atom_site_label
_atom_site_fract_x
_atom_site_fract_y
_atom_site_fract_z
Al1 0.000 0.000 0.250
Os1 0.146 0.354 0.000
```